Version P
Computed, not measured: an optimized crystal structure of SrWAu at the GGA-PBEsol level of DFT.

abc: 3.0094 3.0094 7.6842
angles: 90.00 90.00 120.00
Fractional coordinates of all 3 atoms:
1 Sr 0.0000 0.0000 0.0000
2 W 0.3333 0.6667 0.6454
3 Au 0.6667 0.3333 0.3562



Version Q
Computed, not measured: an optimized crystal structure of SrWAu at the GGA-PBEsol level of DFT.

abc: 4.9084 4.9084 2.9715
angles: 90.00 90.00 120.00
Fractional coordinates of all 3 atoms:
1 Sr 0.0000 0.0000 0.0000
2 W 0.6667 0.3333 0.5000
3 Au 0.3333 0.6667 0.5000



Energy comparison, zero being the most stable, in meV/atom: version P 37; version Q 0.



Version P
Computed, not measured: an optimized crystal structure of Sb2MoPt at the GGA-PBEsol level of DFT.

abc: 4.7679 4.7679 4.7679
angles: 60.00 60.00 60.00
Fractional coordinates of all 4 atoms:
1 Sb 0.0000 0.0000 0.0000
2 Sb 0.2500 0.2500 0.2500
3 Mo 0.7500 0.7500 0.7500
4 Pt 0.5000 0.5000 0.5000



Version Q
Computed, not measured: an optimized crystal structure of Sb2MoPt at the GGA-PBEsol level of DFT.

abc: 10.3991 10.3991 10.3991
angles: 16.96 16.96 16.96
Fractional coordinates of all 4 atoms:
1 Sb 0.0000 0.0000 0.0000
2 Sb 0.2128 0.2128 0.2128
3 Mo 0.7399 0.7399 0.7399
4 Pt 0.4720 0.4720 0.4720



Energy comparison, zero being the most stable, in meV/atom: version P 326; version Q 0.



Version P
Computed, not measured: an optimized crystal structure of MgBrCl2 at the GGA-PBEsol level of DFT.

abc: 6.6292 6.6292 6.6292
angles: 100.46 100.46 129.56
Fractional coordinates of all 8 atoms:
1 Mg 0.0000 0.0000 0.0000
2 Mg 0.7500 0.2500 0.5000
3 Br 0.2500 0.7500 0.5000
4 Br 0.5000 0.5000 0.0000
5 Cl 0.3750 0.2426 0.3676
6 Cl 0.7574 0.1250 0.1324
7 Cl 0.8750 0.0074 0.6324
8 Cl 0.9926 0.6250 0.8676



Version Q
Computed, not measured: an optimized crystal structure of MgBrCl2 at the GGA-PBEsol level of DFT.

abc: 10.3275 10.3275 10.3275
angles: 19.19 19.19 19.19
Fractional coordinates of all 4 atoms:
1 Mg 0.0000 0.0000 0.0000
2 Br 0.5000 0.5000 0.5000
3 Cl 0.2860 0.2860 0.2860
4 Cl 0.7140 0.7140 0.7140



Energy comparison, zero being the most stable, in meV/atom: version P 182; version Q 0.



Version P
Computed, not measured: an optimized crystal structure of ReRh at the GGA-PBEsol level of DFT.

abc: 3.5705 3.5705 3.5705
angles: 60.00 60.00 60.00
Fractional coordinates of all 2 atoms:
1 Re 0.0000 0.0000 0.0000
2 Rh 0.5000 0.5000 0.5000



Version Q
Computed, not measured: an optimized crystal structure of ReRh at the GGA-PBEsol level of DFT.

abc: 3.0580 3.0580 3.0580
angles: 90.00 90.00 90.00
Fractional coordinates of all 2 atoms:
1 Re 0.0000 0.0000 0.0000
2 Rh 0.5000 0.5000 0.5000



Energy comparison, zero being the most stable, in meV/atom: version P 780; version Q 0.



Version P
Computed, not measured: an optimized crystal structure of BaCo2Os at the GGA-PBEsol level of DFT.

abc: 9.1648 9.1648 9.1648
angles: 18.66 18.66 18.66
Fractional coordinates of all 4 atoms:
1 Ba 0.0000 0.0000 0.0000
2 Co 0.2286 0.2286 0.2286
3 Co 0.5064 0.5064 0.5064
4 Os 0.7724 0.7724 0.7724



Version Q
Computed, not measured: an optimized crystal structure of BaCo2Os at the GGA-PBEsol level of DFT.

abc: 5.3316 5.3316 5.3316
angles: 142.59 117.32 75.33
Fractional coordinates of all 4 atoms:
1 Ba 0.0000 0.0000 0.0000
2 Co 0.3202 0.8202 0.5000
3 Co 0.6798 0.1798 0.5000
4 Os 0.5000 0.5000 0.0000



Energy comparison, zero being the most stable, in meV/atom: version P 22; version Q 0.



Version P
Computed, not measured: an optimized crystal structure of Tl2As at the GGA-PBEsol level of DFT.

abc: 5.9740 5.9740 5.9740
angles: 103.14 103.14 123.05
Fractional coordinates of all 6 atoms:
1 Tl 0.1543 0.6543 0.8087
2 Tl 0.3457 0.1543 0.5000
3 Tl 0.6543 0.8457 0.5000
4 Tl 0.8457 0.3457 0.1913
5 As 0.2500 0.2500 0.0000
6 As 0.7500 0.7500 0.0000



Version Q
Computed, not measured: an optimized crystal structure of Tl2As at the GGA-PBEsol level of DFT.

abc: 7.3112 7.3112 7.3112
angles: 153.34 153.34 38.06
Fractional coordinates of all 3 atoms:
1 Tl 0.1481 0.1481 0.0000
2 Tl 0.8519 0.8519 0.0000
3 As 0.5000 0.5000 0.0000



Energy comparison, zero being the most stable, in meV/atom: version P 0; version Q 34.



Version P
Computed, not measured: an optimized crystal structure of LaTcBr2 at the GGA-PBEsol level of DFT.

abc: 8.9872 8.9872 8.9872
angles: 22.55 22.55 22.55
Fractional coordinates of all 4 atoms:
1 La 0.0000 0.0000 0.0000
2 Tc 0.5000 0.5000 0.5000
3 Br 0.2445 0.2445 0.2445
4 Br 0.7555 0.7555 0.7555



Version Q
Computed, not measured: an optimized crystal structure of LaTcBr2 at the GGA-PBEsol level of DFT.

abc: 3.4339 3.4339 8.8154
angles: 90.00 90.00 120.67
Fractional coordinates of all 4 atoms:
1 La 0.0000 0.0000 0.0000
2 Tc 0.0000 0.0000 0.5000
3 Br 0.5000 0.5000 0.2880
4 Br 0.5000 0.5000 0.7120



Energy comparison, zero being the most stable, in meV/atom: version P 0; version Q 108.



Version P
Computed, not measured: an optimized crystal structure of SrTc2Rh at the GGA-PBEsol level of DFT.

abc: 5.3981 5.3981 2.7248
angles: 90.00 90.00 122.05
Fractional coordinates of all 4 atoms:
1 Sr 0.0000 0.0000 0.0000
2 Tc 0.0000 0.5000 0.5000
3 Tc 0.5000 0.0000 0.5000
4 Rh 0.5000 0.5000 0.0000



Version Q
Computed, not measured: an optimized crystal structure of SrTc2Rh at the GGA-PBEsol level of DFT.

abc: 5.5478 5.5478 4.9019
angles: 105.88 105.88 29.35
Fractional coordinates of all 4 atoms:
1 Sr 0.0000 0.0000 0.0000
2 Tc 0.2171 0.2171 0.6831
3 Tc 0.7829 0.7829 0.3169
4 Rh 0.5000 0.5000 0.5000



Energy comparison, zero being the most stable, in meV/atom: version P 302; version Q 0.



Version P
Computed, not measured: an optimized crystal structure of TcAuS2 at the GGA-PBEsol level of DFT.

abc: 6.6219 6.6219 6.6219
angles: 132.17 132.17 69.95
Fractional coordinates of all 8 atoms:
1 Tc 0.0000 0.0000 0.0000
2 Tc 0.7500 0.2500 0.5000
3 Au 0.2500 0.7500 0.5000
4 Au 0.5000 0.5000 0.0000
5 S 0.0900 0.6250 0.9650
6 S 0.3750 0.3400 0.4650
7 S 0.6600 0.1250 0.0350
8 S 0.8750 0.9100 0.5350



Version Q
Computed, not measured: an optimized crystal structure of TcAuS2 at the GGA-PBEsol level of DFT.

abc: 7.9405 7.9405 7.9405
angles: 23.49 23.49 23.49
Fractional coordinates of all 4 atoms:
1 Tc 0.0000 0.0000 0.0000
2 Au 0.5000 0.5000 0.5000
3 S 0.0944 0.0944 0.0944
4 S 0.9056 0.9056 0.9056



Energy comparison, zero being the most stable, in meV/atom: version P 0; version Q 535.



Version P
Computed, not measured: an optimized crystal structure of Li2CuPt at the GGA-PBEsol level of DFT.

abc: 2.8772 4.1745 4.2341
angles: 90.00 90.00 90.00
Fractional coordinates of all 4 atoms:
1 Li 0.0000 0.0000 0.0000
2 Li 0.5000 0.0000 0.5000
3 Cu 0.0000 0.5000 0.5000
4 Pt 0.5000 0.5000 0.0000



Version Q
Computed, not measured: an optimized crystal structure of Li2CuPt at the GGA-PBEsol level of DFT.

abc: 4.4910 4.4910 2.6927
angles: 90.00 90.00 110.29
Fractional coordinates of all 4 atoms:
1 Li 0.0000 0.5000 0.0000
2 Li 0.5000 0.0000 0.0000
3 Cu 0.0000 0.0000 0.5000
4 Pt 0.5000 0.5000 0.5000



Energy comparison, zero being the most stable, in meV/atom: version P 0; version Q 46.



Version P
Computed, not measured: an optimized crystal structure of In2Hg at the GGA-PBEsol level of DFT.

abc: 7.9026 7.9026 4.1237
angles: 90.00 90.00 120.00
Fractional coordinates of all 9 atoms:
1 In 0.0000 0.2681 0.0000
2 In 0.0000 0.6031 0.5000
3 In 0.2681 0.0000 0.0000
4 In 0.3969 0.3969 0.5000
5 In 0.6031 0.0000 0.5000
6 In 0.7319 0.7319 0.0000
7 Hg 0.0000 0.0000 0.5000
8 Hg 0.3333 0.6667 0.0000
9 Hg 0.6667 0.3333 0.0000



Version Q
Computed, not measured: an optimized crystal structure of In2Hg at the GGA-PBEsol level of DFT.

abc: 5.2397 5.2397 6.2297
angles: 90.00 90.00 120.00
Fractional coordinates of all 6 atoms:
1 In 0.0000 0.0000 0.0000
2 In 0.0000 0.0000 0.5000
3 In 0.3333 0.6667 0.2500
4 In 0.6667 0.3333 0.7500
5 Hg 0.3333 0.6667 0.7500
6 Hg 0.6667 0.3333 0.2500



Energy comparison, zero being the most stable, in meV/atom: version P 0; version Q 7.



Version P
Computed, not measured: an optimized crystal structure of CoRe2Tc at the GGA-PBEsol level of DFT.

abc: 4.6126 4.6126 2.6697
angles: 90.00 90.00 109.56
Fractional coordinates of all 4 atoms:
1 Co 0.0000 0.0000 0.0000
2 Re 0.0000 0.5000 0.5000
3 Re 0.5000 0.0000 0.5000
4 Tc 0.5000 0.5000 0.0000



Version Q
Computed, not measured: an optimized crystal structure of CoRe2Tc at the GGA-PBEsol level of DFT.

abc: 4.5860 4.5860 4.5860
angles: 131.26 131.26 71.39
Fractional coordinates of all 4 atoms:
1 Co 0.0000 0.0000 0.0000
2 Re 0.5000 0.5000 0.0000
3 Re 0.7500 0.2500 0.5000
4 Tc 0.2500 0.7500 0.5000



Energy comparison, zero being the most stable, in meV/atom: version P 53; version Q 0.